Material: Ca2ScB2
Method: DFT, GGA-PBE
State: optimized geometry

Results
crystal system = tetragonal
calculated total energy = -3.793 eV/atom
symmetry = I4/mmm, No. 139
formation energy from the elements = 0.945 eV per atom
total magnetization = 0.00 μB/atom

a = 5.6970 Å, b = 5.6970 Å, c = 5.6970 Å
α = 130.77°, β = 130.77°, γ = 72.17°
Closest atoms and distances in Å follow each position.
Element x y z (fractional)
1 Ca 0.1576 0.1576 0.0000  4 B 2.52
2 Ca 0.8424 0.8424 0.0000  4 B 2.52
3 Sc 0.5000 0.5000 0.0000  2 Ca 3.15, 8 B 3.31
4 B 0.2500 0.7500 0.5000  4 Ca 2.52
5 B 0.7500 0.2500 0.5000  4 Ca 2.52